No. 1
DFT (PBE) results for crystalline Li2ZrCu at its relaxed geometry.

a = 5.8862 Å, b = 5.8862 Å, c = 5.8862 Å
α = 152.10°, β = 132.04°, γ = 56.40°
Sites, in units of the cell vectors:
Li 0.2134 0.2134 0.0000
Li 0.7866 0.7866 0.0000
Zr 0.5000 0.0000 0.5000
Cu 0.0000 0.5000 0.5000

The total energy comes out at -4.017 eV per atom. The value obtained for the excess energy over the best structure of this formula in the dataset is 0.0422 eV per atom. Its total moment is 0.00 μB/f.u. The density of states at the Fermi level is 0.725 states/eV per atom. For the calculated density, the calculation gives 4.0 g/cm3. The calculation puts the formation energy at 0.10 eV/atom.

---

No. 2
DFT (PBE) results for crystalline CaPO2 at its relaxed geometry.

a = 6.2004 Å, b = 6.2004 Å, c = 6.2004 Å
α = 31.63°, β = 31.63°, γ = 31.63°
Sites, in units of the cell vectors:
Ca 0.0000 0.0000 0.0000
P 0.5000 0.5000 0.5000
O 0.4038 0.4038 0.4038
O 0.5962 0.5962 0.5962

For the uncorrected formation energy, the calculation gives -1.7728 eV per atom. The total energy comes out at -6.105 eV per atom. Its total moment is 0.00 μB/f.u. The density of states at the Fermi level is 0.252 states/eV per atom. For the calculated density, the calculation gives 2.9 g/cm3.

---

No. 3
DFT (PBE) results for crystalline Ga2OsPd at its relaxed geometry.

a = 9.3812 Å, b = 9.3812 Å, c = 9.3812 Å
α = 17.25°, β = 17.25°, γ = 17.25°
Sites, in units of the cell vectors:
Ga 0.0912 0.0912 0.0912
Ga 0.9088 0.9088 0.9088
Os 0.0000 0.0000 0.0000
Pd 0.5000 0.5000 0.5000

The total energy comes out at -5.524 eV per atom. The value obtained for the excess energy over the best structure of this formula in the dataset is 0.3695 eV per atom. Its total moment is 0.22 μB/f.u. The density of states at the Fermi level is 0.650 states/eV per atom. For the calculated density, the calculation gives 11.4 g/cm3. The calculation puts the formation energy at 0.10 eV/atom.

---

No. 4
DFT (PBE) results for crystalline CsAl4F12 at its relaxed geometry.

a = 6.6683 Å, b = 6.6683 Å, c = 6.6683 Å
α = 109.47°, β = 109.47°, γ = 109.47°
Sites, in units of the cell vectors:
Cs 0.0000 0.0000 0.0000
Al 0.0000 0.0000 0.5000
Al 0.0000 0.5000 0.0000
Al 0.5000 0.0000 0.0000
Al 0.5000 0.5000 0.5000
F 0.0000 0.2551 0.7449
F 0.0000 0.7449 0.2551
F 0.2551 0.0000 0.7449
F 0.2551 0.2551 0.5101
F 0.2551 0.5101 0.2551
F 0.2551 0.7449 0.0000
F 0.4899 0.7449 0.7449
F 0.5101 0.2551 0.2551
F 0.7449 0.0000 0.2551
F 0.7449 0.2551 0.0000
F 0.7449 0.4899 0.7449
F 0.7449 0.7449 0.4899

For the uncorrected formation energy, the calculation gives -3.0834 eV per atom. The total energy comes out at -5.335 eV per atom. Its total moment is 0.00 μB/f.u. The density of states at the Fermi level is 0.164 states/eV per atom. For the calculated density, the calculation gives 3.4 g/cm3.

---

No. 5
DFT (PBE) results for crystalline K2SrAu at its relaxed geometry.

a = 7.9521 Å, b = 7.9521 Å, c = 7.9521 Å
α = 149.20°, β = 131.49°, γ = 58.57°
Sites, in units of the cell vectors:
K 0.0000 0.0000 0.0000
K 0.6712 0.1712 0.5000
Sr 0.3527 0.3527 0.0000
Au 0.1919 0.6919 0.5000

The total energy comes out at -1.961 eV per atom. The value obtained for the excess energy over the best structure of this formula in the dataset is 0.1029 eV per atom. Its total moment is 0.00 μB/f.u. The density of states at the Fermi level is 0.520 states/eV per atom. For the calculated density, the calculation gives 3.1 g/cm3. The calculation puts the formation energy at -0.17 eV/atom.

---

No. 6
DFT (PBE) results for crystalline La2ScCrN at its relaxed geometry.

a = 5.1517 Å, b = 5.1517 Å, c = 4.5847 Å
α = 90.00°, β = 90.00°, γ = 90.00°
Sites, in units of the cell vectors:
La 0.0000 0.5000 0.0000
La 0.5000 0.0000 0.0000
Sc 0.0000 0.0000 0.5000
Cr 0.0000 0.0000 0.0000
N 0.5000 0.5000 0.5000

For the uncorrected formation energy, the calculation gives 0.8879 eV per atom. The total energy comes out at -5.939 eV per atom. Its total moment is 0.00 μB/f.u. The density of states at the Fermi level is 0.547 states/eV per atom. For the calculated density, the calculation gives 5.3 g/cm3.

---

No. 7
DFT (PBE) results for crystalline Sm8C4O3 at its relaxed geometry.

a = 7.2653 Å, b = 7.2653 Å, c = 7.2409 Å
α = 119.72°, β = 119.72°, γ = 90.36°
Sites, in units of the cell vectors:
Sm 0.2427 0.7573 0.0000
Sm 0.2439 0.2439 0.4806
Sm 0.2456 0.2456 0.9991
Sm 0.2528 0.7472 0.5000
Sm 0.7472 0.2528 0.5000
Sm 0.7544 0.7544 0.0009
Sm 0.7561 0.7561 0.5194
Sm 0.7573 0.2427 0.0000
C 0.0000 0.0000 0.0000
C 0.0000 0.5000 0.0000
C 0.5000 0.0000 0.0000
C 0.5000 0.5000 0.5000
O 0.0000 0.0000 0.5000
O 0.0000 0.5000 0.5000
O 0.5000 0.0000 0.5000

For the uncorrected formation energy, the calculation gives -1.2570 eV per atom. The total energy comes out at -7.225 eV per atom. Its total moment is 1.26 μB/f.u. The density of states at the Fermi level is 0.323 states/eV per atom. For the calculated density, the calculation gives 7.9 g/cm3.

---

No. 8
DFT (PBE) results for crystalline Hg2TePt at its relaxed geometry.

a = 3.5559 Å, b = 3.5684 Å, c = 9.4139 Å
α = 90.00°, β = 90.00°, γ = 90.00°
Sites, in units of the cell vectors:
Hg 0.0000 0.0000 0.0000
Hg 0.5000 0.5000 0.2573
Te 0.0000 0.0000 0.5904
Pt 0.5000 0.5000 0.6852

For the uncorrected formation energy, the calculation gives 0.0571 eV per atom. The total energy comes out at -2.389 eV per atom. Its total moment is 0.00 μB/f.u. The density of states at the Fermi level is 0.180 states/eV per atom. For the calculated density, the calculation gives 10.1 g/cm3.